Entry 1:
DFT (PBE-GGA) results for crystalline Mg2B2Ir5W at its relaxed geometry. Values from VASP.

The structure in Quantum ESPRESSO input format:
```
&SYSTEM
  ibrav = 0, nat = 20, ntyp = 4
/
ATOMIC_SPECIES
Mg 24.30 Mg.upf
B 10.81 B.upf
Ir 192.22 Ir.upf
W 183.84 W.upf
CELL_PARAMETERS angstrom
9.717 0.000 0.000
0.000 9.717 0.000
0.000 0.000 2.906
ATOMIC_POSITIONS angstrom
Mg 1.728 3.130 0.000
Mg 3.130 7.989 0.000
Mg 6.587 1.728 0.000
Mg 7.989 6.587 0.000
B 1.175 6.034 0.000
B 3.684 1.175 0.000
B 6.034 8.542 0.000
B 8.542 3.684 0.000
Ir 0.000 4.859 1.453
Ir 0.696 7.566 1.453
Ir 2.152 0.696 1.453
Ir 2.707 5.554 1.453
Ir 4.163 2.707 1.453
Ir 4.859 0.000 1.453
Ir 5.554 7.011 1.453
Ir 7.011 4.163 1.453
Ir 7.566 9.022 1.453
Ir 9.022 2.152 1.453
W 0.000 0.000 0.000
W 4.859 4.859 0.000
```

## Properties
ΔH_f (0 K)   -0.4077 eV/atom
Spin magnetization   0.00 μB/cell
DFT total energy   -7.7879 eV per atom



Entry 2:
DFT (PBE-GGA) results for crystalline BaCa3Pt at its relaxed geometry. Values from VASP.

The structure in Quantum ESPRESSO input format:
```
&SYSTEM
  ibrav = 0, nat = 10, ntyp = 3
/
ATOMIC_SPECIES
Ba 137.33 Ba.upf
Ca 40.08 Ca.upf
Pt 195.08 Pt.upf
CELL_PARAMETERS angstrom
6.797 0.000 0.000
0.000 7.074 0.000
-0.223 0.000 8.375
ATOMIC_POSITIONS angstrom
Ba -0.036 0.000 3.076
Ba 6.610 3.537 5.299
Ca -0.149 0.006 7.405
Ca 3.252 2.559 3.016
Ca 3.360 6.017 0.977
Ca 3.213 2.480 7.398
Ca 3.322 6.096 5.359
Ca 6.723 3.544 0.970
Pt 1.733 1.316 0.973
Pt 4.840 4.853 7.402
```

## Properties
ΔH_f (0 K)   -0.4482 eV/atom
Spin magnetization   0.00 μB/cell
DFT total energy   -3.2418 eV per atom
Distance to the lowest polymorph of the same formula   0.305 kcal/mol of atoms



Entry 3:
DFT (PBE-GGA) results for crystalline Tm3Mg2Tc2 at its relaxed geometry. Values from VASP.

The structure in Quantum ESPRESSO input format:
```
&SYSTEM
  ibrav = 0, nat = 7, ntyp = 3
/
ATOMIC_SPECIES
Tm 168.93 Tm.upf
Mg 24.30 Mg.upf
Tc 98.00 Tc.upf
CELL_PARAMETERS angstrom
2.126 -11.228 0.000
2.126 11.228 0.000
0.000 0.000 3.440
ATOMIC_POSITIONS angstrom
Tm 0.000 0.000 0.000
Tm 2.126 7.499 0.000
Tm 2.126 -7.499 0.000
Mg 2.126 1.888 1.720
Mg 2.126 -1.888 1.720
Tc 2.126 5.041 1.720
Tc 2.126 -5.041 1.720
```

## Properties
ΔH_f (0 K)   0.0109 eV/atom
Spin magnetization   0.00 μB/cell
DFT total energy   -5.3228 eV per atom